Record 1
Here is SrPH2O4 after structural relaxation from Alexandria via LeMat-Bulk. Energies are from PBE.

Summary:
SG: I222, No. 23
E_tot: -5.820 eV per atom

```
data_SrPH2O4
_chemical_formula_sum 'Sr1 P1 H2 O4'
_symmetry_space_group_name_H-M 'P 1'
_symmetry_Int_Tables_number 1
_cell_length_a 4.004
_cell_length_b 5.257
_cell_length_c 5.257
_cell_angle_alpha 76.94
_cell_angle_beta 67.62
_cell_angle_gamma 67.62
loop_
_symmetry_equiv_pos_as_xyz
'x,y,z'
loop_
_atom_site_label
_atom_site_fract_x
_atom_site_fract_y
_atom_site_fract_z
P1 0.500 0.500 0.500
O1 0.117 0.751 0.520
O2 0.388 0.249 0.480
O3 0.883 0.480 0.249
O4 0.612 0.520 0.751
H1 0.147 0.353 0.353
H2 0.853 0.647 0.647
Sr1 0.000 0.000 0.000
```


Record 2
Here is SrP2H6O9 after structural relaxation from Alexandria via LeMat-Bulk. Energies are from PBE.

Summary:
SG: P-1, No. 2
E_tot: -6.078 eV per atom

```
data_SrP2H6O9
_chemical_formula_sum 'Sr2 P4 H12 O18'
_symmetry_space_group_name_H-M 'P 1'
_symmetry_Int_Tables_number 1
_cell_length_a 6.729
_cell_length_b 8.977
_cell_length_c 7.395
_cell_angle_alpha 106.07
_cell_angle_beta 84.62
_cell_angle_gamma 114.61
loop_
_symmetry_equiv_pos_as_xyz
'x,y,z'
loop_
_atom_site_label
_atom_site_fract_x
_atom_site_fract_y
_atom_site_fract_z
O1 0.328 0.509 0.734
O2 0.609 0.355 0.570
O3 0.006 0.276 0.404
O4 0.771 0.070 0.113
O5 0.811 0.826 0.880
O6 0.852 0.860 0.234
O7 0.229 0.930 0.887
O8 0.672 0.491 0.266
O9 0.285 0.034 0.413
O10 0.189 0.174 0.120
O11 0.525 0.226 0.924
O12 0.391 0.645 0.430
O13 0.148 0.140 0.766
O14 0.994 0.724 0.596
O15 0.475 0.774 0.076
O16 0.715 0.966 0.587
O17 0.006 0.369 0.100
O18 0.994 0.631 0.900
H1 0.212 0.058 0.535
H2 0.613 0.400 0.150
H3 0.504 0.237 0.509
H4 0.387 0.600 0.850
H5 0.774 0.927 0.673
H6 0.567 0.546 0.305
H7 0.345 0.590 0.536
H8 0.788 0.942 0.465
H9 0.655 0.410 0.464
H10 0.433 0.454 0.695
H11 0.226 0.073 0.327
H12 0.496 0.763 0.491
Sr1 0.903 0.311 0.744
Sr2 0.097 0.689 0.256
P1 0.993 0.238 0.196
P2 0.282 0.128 0.910
P3 0.007 0.762 0.804
P4 0.718 0.872 0.090
```


Record 3
Here is SrP2H4O6 after structural relaxation from Alexandria via LeMat-Bulk. Energies are from PBE.

Summary:
SG: P-1, No. 2
E_tot: -6.072 eV per atom

```
data_SrP2H4O6
_chemical_formula_sum 'Sr2 P4 H8 O12'
_symmetry_space_group_name_H-M 'P 1'
_symmetry_Int_Tables_number 1
_cell_length_a 9.028
_cell_length_b 7.254
_cell_length_c 5.872
_cell_angle_alpha 73.16
_cell_angle_beta 64.50
_cell_angle_gamma 70.44
loop_
_symmetry_equiv_pos_as_xyz
'x,y,z'
loop_
_atom_site_label
_atom_site_fract_x
_atom_site_fract_y
_atom_site_fract_z
O1 0.282 0.626 0.515
O2 0.142 0.423 0.258
O3 0.179 0.884 0.811
O4 0.820 0.688 0.152
O5 0.847 0.930 0.736
O6 0.455 0.635 0.762
O7 0.545 0.365 0.238
O8 0.718 0.374 0.485
O9 0.858 0.577 0.742
O10 0.153 0.070 0.264
O11 0.821 0.116 0.189
O12 0.180 0.312 0.848
H1 0.605 0.792 0.977
H2 0.214 0.437 0.731
H3 0.555 0.535 0.666
H4 0.584 0.113 0.587
H5 0.445 0.465 0.334
H6 0.395 0.208 0.023
H7 0.786 0.563 0.269
H8 0.416 0.887 0.413
Sr1 0.960 0.215 0.705
Sr2 0.040 0.785 0.295
P1 0.673 0.238 0.377
P2 0.217 0.254 0.108
P3 0.327 0.762 0.623
P4 0.783 0.746 0.892
```


Record 4
Here is SrPH3O4 after structural relaxation from Alexandria via LeMat-Bulk. Energies are from PBE.

Summary:
SG: P2_1/c, No. 14
E_tot: -5.992 eV per atom

```
data_SrPH3O4
_chemical_formula_sum 'Sr4 P4 H12 O16'
_symmetry_space_group_name_H-M 'P 1'
_symmetry_Int_Tables_number 1
_cell_length_a 7.146
_cell_length_b 7.758
_cell_length_c 8.250
_cell_angle_alpha 71.06
_cell_angle_beta 90.00
_cell_angle_gamma 90.00
loop_
_symmetry_equiv_pos_as_xyz
'x,y,z'
loop_
_atom_site_label
_atom_site_fract_x
_atom_site_fract_y
_atom_site_fract_z
H1 0.399 0.995 0.296
H2 0.955 0.191 0.231
H3 0.545 0.191 0.731
H4 0.455 0.809 0.269
H5 0.045 0.809 0.769
H6 0.263 0.115 0.996
H7 0.737 0.885 0.004
H8 0.601 0.005 0.704
H9 0.899 0.005 0.204
H10 0.101 0.995 0.796
H11 0.237 0.115 0.496
H12 0.763 0.885 0.504
P1 0.851 0.726 0.495
P2 0.149 0.274 0.505
P3 0.649 0.726 0.995
P4 0.351 0.274 0.005
O1 0.297 0.429 0.457
O2 0.797 0.571 0.043
O3 0.389 0.860 0.348
O4 0.506 0.323 0.866
O5 0.889 0.140 0.152
O6 0.994 0.323 0.366
O7 0.006 0.677 0.634
O8 0.575 0.772 0.811
O9 0.925 0.772 0.311
O10 0.111 0.860 0.848
O11 0.703 0.571 0.543
O12 0.611 0.140 0.652
O13 0.425 0.228 0.189
O14 0.203 0.429 0.957
O15 0.075 0.228 0.689
O16 0.494 0.677 0.134
Sr1 0.862 0.374 0.849
Sr2 0.362 0.626 0.651
Sr3 0.638 0.374 0.349
Sr4 0.138 0.626 0.151
```


Record 5
Here is Tc2PHO after structural relaxation from Alexandria via LeMat-Bulk. Energies are from PBE.

Summary:
SG: P4/mmm, No. 123
E_tot: -5.853 eV per atom

```
data_Tc2PHO
_chemical_formula_sum 'Tc2 P1 H1 O1'
_symmetry_space_group_name_H-M 'P 1'
_symmetry_Int_Tables_number 1
_cell_length_a 4.640
_cell_length_b 3.480
_cell_length_c 4.640
_cell_angle_alpha 90.00
_cell_angle_beta 90.00
_cell_angle_gamma 90.00
loop_
_symmetry_equiv_pos_as_xyz
'x,y,z'
loop_
_atom_site_label
_atom_site_fract_x
_atom_site_fract_y
_atom_site_fract_z
H1 0.500 0.500 0.500
O1 0.000 0.500 0.000
Tc1 0.000 0.000 0.500
Tc2 0.500 0.000 0.000
P1 0.000 0.000 0.000
```


Record 6
Here is TiPHO5 after structural relaxation from Alexandria via LeMat-Bulk. Energies are from PBE.

Summary:
SG: P-1, No. 2
E_tot: -7.493 eV per atom
Offset from the most stable computed form: 19 meV per atom

```
data_TiPHO5
_chemical_formula_sum 'Ti2 P2 H2 O10'
_symmetry_space_group_name_H-M 'P 1'
_symmetry_Int_Tables_number 1
_cell_length_a 5.253
_cell_length_b 7.500
_cell_length_c 5.292
_cell_angle_alpha 109.16
_cell_angle_beta 97.88
_cell_angle_gamma 106.29
loop_
_symmetry_equiv_pos_as_xyz
'x,y,z'
loop_
_atom_site_label
_atom_site_fract_x
_atom_site_fract_y
_atom_site_fract_z
O1 0.365 0.624 0.245
O2 0.284 0.106 0.835
O3 0.716 0.894 0.165
O4 0.140 0.362 0.695
O5 0.057 0.732 0.878
O6 0.943 0.268 0.122
O7 0.733 0.899 0.648
O8 0.267 0.101 0.352
O9 0.635 0.376 0.755
O10 0.860 0.638 0.305
P1 0.666 0.765 0.339
P2 0.334 0.235 0.661
Ti1 0.000 0.500 0.000
Ti2 0.000 0.000 0.000
H1 0.966 0.313 0.325
H2 0.034 0.687 0.675
```


Record 7
Here is Ti2P2H4O11 after structural relaxation from Alexandria via LeMat-Bulk. Energies are from PBE.

Summary:
SG: P-1, No. 2
E_tot: -7.109 eV per atom

```
data_Ti2P2H4O11
_chemical_formula_sum 'Ti4 P4 H8 O22'
_symmetry_space_group_name_H-M 'P 1'
_symmetry_Int_Tables_number 1
_cell_length_a 5.221
_cell_length_b 8.818
_cell_length_c 9.890
_cell_angle_alpha 73.81
_cell_angle_beta 85.71
_cell_angle_gamma 84.97
loop_
_symmetry_equiv_pos_as_xyz
'x,y,z'
loop_
_atom_site_label
_atom_site_fract_x
_atom_site_fract_y
_atom_site_fract_z
O1 0.267 0.493 0.605
O2 0.730 0.205 0.032
O3 0.752 0.963 0.285
O4 0.813 0.008 0.886
O5 0.248 0.037 0.715
O6 0.762 0.903 0.666
O7 0.188 0.317 0.064
O8 0.440 0.754 0.469
O9 0.560 0.246 0.531
O10 0.204 0.728 0.704
O11 0.733 0.507 0.395
O12 0.958 0.727 0.496
O13 0.024 0.716 0.204
O14 0.976 0.284 0.796
O15 0.502 0.751 0.188
O16 0.238 0.097 0.334
O17 0.270 0.795 0.968
O18 0.042 0.273 0.504
O19 0.498 0.249 0.812
O20 0.796 0.272 0.296
O21 0.187 0.992 0.114
O22 0.812 0.683 0.936
Ti1 0.731 0.736 0.338
Ti2 0.269 0.264 0.662
Ti3 0.057 0.875 0.804
Ti4 0.943 0.125 0.196
H1 0.143 0.346 0.965
H2 0.414 0.047 0.325
H3 0.373 0.285 0.062
H4 0.627 0.715 0.938
H5 0.221 0.158 0.404
H6 0.779 0.842 0.596
H7 0.857 0.654 0.035
H8 0.586 0.953 0.675
P1 0.756 0.185 0.879
P2 0.783 0.328 0.433
P3 0.217 0.672 0.567
P4 0.244 0.815 0.121
```


Record 8
Here is TiPHO5 after structural relaxation from Alexandria via LeMat-Bulk. Energies are from PBE.

Summary:
SG: P2_1, No. 4
E_tot: -7.512 eV per atom
Offset from the most stable computed form: 0 meV per atom

```
data_TiPHO5
_chemical_formula_sum 'Ti4 P4 H4 O20'
_symmetry_space_group_name_H-M 'P 1'
_symmetry_Int_Tables_number 1
_cell_length_a 7.211
_cell_length_b 7.499
_cell_length_c 7.461
_cell_angle_alpha 63.23
_cell_angle_beta 90.00
_cell_angle_gamma 90.00
loop_
_symmetry_equiv_pos_as_xyz
'x,y,z'
loop_
_atom_site_label
_atom_site_fract_x
_atom_site_fract_y
_atom_site_fract_z
O1 0.231 0.402 0.651
O2 0.732 0.904 0.657
O3 0.241 0.899 0.153
O4 0.988 0.843 0.918
O5 0.490 0.846 0.415
O6 0.990 0.154 0.585
O7 0.484 0.336 0.413
O8 0.984 0.664 0.587
O9 0.487 0.657 0.087
O10 0.736 0.396 0.159
O11 0.236 0.604 0.841
O12 0.741 0.101 0.847
O13 0.150 0.499 0.247
O14 0.232 0.096 0.343
O15 0.865 0.995 0.246
O16 0.987 0.343 0.913
O17 0.488 0.157 0.082
O18 0.650 0.501 0.753
O19 0.731 0.598 0.349
O20 0.365 0.005 0.754
P1 0.109 0.503 0.748
P2 0.865 0.000 0.751
P3 0.609 0.497 0.252
P4 0.365 0.000 0.249
H1 0.425 0.074 0.824
H2 0.473 0.957 0.705
H3 0.925 0.926 0.176
H4 0.973 0.043 0.295
Ti1 0.723 0.720 0.531
Ti2 0.223 0.280 0.469
Ti3 0.727 0.282 0.973
Ti4 0.227 0.718 0.027
```